Compound: CaVGa2F
Source: Alexandria
Functional: GGA+U
Structure: optimized geometry

Cell and atoms, written as extended XYZ:
```
5
Lattice="5.065 0.000 0.000 0.000 5.065 0.000 0.000 0.000 3.937" Properties=species:S:1:pos:R:3 pbc="T T T"
Ca 0.000 0.000 0.000
V 2.533 2.533 0.000
Ga 0.000 2.533 1.968
Ga 2.533 0.000 1.968
F 2.533 2.533 1.968
```

Computed properties:
DOS(E_F) = 0.688 states/eV/atom
Space group = P4/mmm
Total DFT energy (no corrections) = -3.5330 eV/atom